Record 1
Entry from Alexandria via LeMat-Bulk: a geometry-optimized CaFe2Cl structure (GGA-PBE).

The structure in POSCAR format:
```
CaFe2Cl
1.0
-2.676 -0.043 -1.619
-0.170 -3.103 0.363
-4.041 0.999 6.652
Ca Fe Cl
1 2 1
Cartesian
-2.433 -1.323 1.035
-3.852 0.953 6.341
-2.209 0.546 3.637
-4.454 -0.823 4.361
```

Output
Excess energy over the best structure of this formula in the dataset: 741 meV/atom
Uncorrected energy: -4.668 eV/atom
Total moment: 6.3 μB per cell
DOS at the Fermi energy: 1.1127 states/eV/atom

---

Record 2
Entry from Alexandria via LeMat-Bulk: a geometry-optimized CaFe4Cl structure (GGA-PBE).

The structure in POSCAR format:
```
CaFe4Cl
1.0
0.000 3.665 3.665
3.665 0.000 3.665
3.665 3.665 0.000
Ca Fe Cl
1 4 1
Cartesian
5.497 5.497 5.497
2.768 4.562 4.562
2.768 2.768 2.768
4.562 4.562 2.768
4.562 2.768 4.562
0.000 0.000 0.000
```

Output
Uncorrected energy: -5.911 eV/atom
Total moment: 10.9 μB per cell
DOS at the Fermi energy: 0.7633 states/eV/atom

---

Record 3
Entry from Alexandria via LeMat-Bulk: a geometry-optimized CaFe3Cl12 structure (GGA-PBE).

The structure in POSCAR format:
```
CaFe3Cl12
1.0
9.787 0.000 4.726
3.753 9.039 4.726
-0.006 -0.004 12.509
Ca Fe Cl
2 6 24
Cartesian
0.822 0.549 10.794
7.595 5.071 9.266
8.115 3.308 17.465
3.527 4.039 9.229
9.187 1.709 11.210
7.134 8.557 18.683
11.850 6.227 20.209
7.624 7.829 12.429
1.624 0.814 13.487
3.030 2.258 10.484
12.961 8.678 15.403
9.857 4.217 16.595
4.593 3.320 7.507
4.752 0.689 2.607
8.388 3.372 7.174
11.558 5.207 13.606
7.245 2.561 10.508
9.345 1.933 13.428
10.694 2.969 10.340
4.988 5.336 10.312
2.473 4.160 2.625
8.158 1.188 16.762
7.820 7.838 16.778
6.466 6.780 7.344
10.020 6.454 8.955
6.217 4.125 4.422
8.147 5.709 11.958
11.594 7.487 18.488
7.222 8.739 10.524
3.820 7.079 16.567
5.720 7.890 13.598
9.225 8.643 13.588
```

Output
Uncorrected energy: -4.078 eV/atom
Total moment: 28.0 μB per cell
DOS at the Fermi energy: 0.8087 states/eV/atom

---

Record 4
Entry from Alexandria via LeMat-Bulk: a geometry-optimized CaFe2Cl structure (GGA-PBE).

The structure in POSCAR format:
```
CaFe2Cl
1.0
3.258 -0.013 0.000
0.013 3.258 0.000
0.000 0.000 8.202
Ca Fe Cl
1 2 1
Cartesian
0.000 0.000 4.000
0.000 0.000 0.960
1.635 1.623 1.811
1.635 1.623 5.531
```

Output
Excess energy over the best structure of this formula in the dataset: 3 meV/atom
Uncorrected energy: -5.406 eV/atom
Total moment: 5.3 μB per cell
DOS at the Fermi energy: 0.4774 states/eV/atom